(1)
# CdCuPtO4 (PBE, relaxed)
# - Uncorrected formation energy: -0.685 eV per atom
# - Raw total energy: -5.0969 eV/atom
# - Crystal system: orthorhombic
# - Volume: 12.81 A^3/atom
data_CdCuPtO4
_symmetry_space_group_name_H-M 'I m m a'
_symmetry_Int_Tables_number 74
_symmetry_space_group_name_Hall '-I 2b 2'
_cell_length_a 5.857
_cell_length_b 6.308
_cell_length_c 9.708
_cell_angle_alpha 90.00
_cell_angle_beta 90.00
_cell_angle_gamma 90.00
loop_
_atom_site_label
_atom_site_type_symbol
_atom_site_fract_x
_atom_site_fract_y
_atom_site_fract_z
Cd1 Cd 0.000 0.250 0.164
Cu1 Cu 0.250 0.250 0.750
Pt1 Pt 0.000 0.000 0.500
O1 O 0.000 0.042 0.709
O2 O 0.223 0.250 0.492

---

(2)
# Cd2Cu2PtO6 (PBE, relaxed)
# - Uncorrected formation energy: -0.539 eV per atom
# - Raw total energy: -4.7035 eV/atom
# - Crystal system: trigonal
# - Volume: 12.21 A^3/atom
data_Cd2Cu2PtO6
_symmetry_space_group_name_H-M 'P -3 1 m'
_symmetry_Int_Tables_number 162
_symmetry_space_group_name_Hall '-P 3 2'
_cell_length_a 5.3416
_cell_length_b 5.3416
_cell_length_c 5.4343
_cell_angle_alpha 90.00
_cell_angle_beta 90.00
_cell_angle_gamma 120.00
loop_
_atom_site_label
_atom_site_type_symbol
_atom_site_fract_x
_atom_site_fract_y
_atom_site_fract_z
Cd1 Cd 0.3333 0.6667 0.0000
Cu1 Cu 0.3333 0.6667 0.5000
Pt1 Pt 0.0000 0.0000 0.5000
O1 O 0.0000 0.3273 0.2966

---

(3)
# PuCdCuO5 (PBE, relaxed)
# - Uncorrected formation energy: -1.588 eV per atom
# - Raw total energy: -7.1045 eV/atom
# - Crystal system: monoclinic
# - Volume: 15.06 A^3/atom
data_PuCdCuO5
_symmetry_space_group_name_H-M 'C 1 2/c 1'
_symmetry_Int_Tables_number 15
_cell_length_a 6.834
_cell_length_b 9.937
_cell_length_c 7.665
_cell_angle_alpha 90.00
_cell_angle_beta 112.19
_cell_angle_gamma 90.00
loop_
_symmetry_equiv_pos_as_xyz
'x,y,z'
'-x,-y,-z'
'-x,y,-z+1/2'
'x,-y,z+1/2'
'x+1/2,y+1/2,z'
'-x+1/2,-y+1/2,-z'
'-x+1/2,y+1/2,-z+1/2'
'x+1/2,-y+1/2,z+1/2'
loop_
_atom_site_label
_atom_site_type_symbol
_atom_site_fract_x
_atom_site_fract_y
_atom_site_fract_z
Pu1 Pu 0.250 0.250 0.000
Cd1 Cd 0.000 0.047 0.250
Cu1 Cu 0.000 0.473 0.250
O1 O 0.000 0.183 0.750
O2 O 0.049 0.329 0.084
O3 O 0.227 0.058 0.120

---

(4)
# PuCd2CuO6 (PBE, relaxed)
# - Uncorrected formation energy: -1.517 eV per atom
# - Raw total energy: -6.5179 eV/atom
# - Crystal system: monoclinic
# - Volume: 13.93 A^3/atom
data_PuCd2CuO6
_symmetry_space_group_name_H-M 'C 1 2/m 1'
_symmetry_Int_Tables_number 12
_cell_length_a 10.523
_cell_length_b 5.660
_cell_length_c 5.277
_cell_angle_alpha 90.00
_cell_angle_beta 117.55
_cell_angle_gamma 90.00
loop_
_symmetry_equiv_pos_as_xyz
'x,y,z'
'-x,-y,-z'
'-x,y,-z'
'x,-y,z'
'x+1/2,y+1/2,z'
'-x+1/2,-y+1/2,-z'
'-x+1/2,y+1/2,-z'
'x+1/2,-y+1/2,z'
loop_
_atom_site_label
_atom_site_type_symbol
_atom_site_fract_x
_atom_site_fract_y
_atom_site_fract_z
Pu1 Pu 0.000 0.000 0.000
Cd1 Cd 0.248 0.000 0.679
Cu1 Cu 0.000 0.500 0.500
O1 O 0.080 0.263 0.341
O2 O 0.188 0.000 0.025

---

(5)
# PuCd2Cu2O6 (PBE, relaxed)
# - Uncorrected formation energy: -1.356 eV per atom
# - Raw total energy: -6.2750 eV/atom
# - Crystal system: monoclinic
# - Volume: 14.27 A^3/atom
data_PuCd2Cu2O6
_symmetry_space_group_name_H-M 'C 1 2/m 1'
_symmetry_Int_Tables_number 12
_cell_length_a 6.391
_cell_length_b 8.937
_cell_length_c 6.222
_cell_angle_alpha 90.00
_cell_angle_beta 117.93
_cell_angle_gamma 90.00
loop_
_symmetry_equiv_pos_as_xyz
'x,y,z'
'-x,-y,-z'
'-x,y,-z'
'x,-y,z'
'x+1/2,y+1/2,z'
'-x+1/2,-y+1/2,-z'
'-x+1/2,y+1/2,-z'
'x+1/2,-y+1/2,z'
loop_
_atom_site_label
_atom_site_type_symbol
_atom_site_fract_x
_atom_site_fract_y
_atom_site_fract_z
Pu1 Pu 0.000 0.000 0.000
Cd1 Cd 0.000 0.184 0.500
Cu1 Cu 0.000 0.340 0.000
O1 O 0.178 0.181 0.250
O2 O 0.249 0.500 0.160

---

(6)
# RbCdCuO2 (PBE, relaxed)
# - Uncorrected formation energy: -0.960 eV per atom
# - Raw total energy: -4.1387 eV/atom
# - Crystal system: monoclinic
# - Volume: 19.26 A^3/atom
data_RbCdCuO2
_symmetry_space_group_name_H-M 'P 1 2/c 1'
_symmetry_Int_Tables_number 13
_cell_length_a 6.440
_cell_length_b 4.667
_cell_length_c 6.556
_cell_angle_alpha 90.00
_cell_angle_beta 102.22
_cell_angle_gamma 90.00
loop_
_symmetry_equiv_pos_as_xyz
'x,y,z'
'-x,-y,-z'
'-x,y,-z+1/2'
'x,-y,z+1/2'
loop_
_atom_site_label
_atom_site_type_symbol
_atom_site_fract_x
_atom_site_fract_y
_atom_site_fract_z
Rb1 Rb 0.000 0.220 0.250
Cd1 Cd 0.500 0.482 0.750
Cu1 Cu 0.500 0.000 0.000
O1 O 0.298 0.285 0.966

---

(7)
# CdCu2ReO6 (PBE, relaxed)
# - Uncorrected formation energy: -0.952 eV per atom
# - Raw total energy: -6.0827 eV/atom
# - Crystal system: monoclinic
# - Volume: 18.40 A^3/atom
data_CdCu2ReO6
_symmetry_space_group_name_H-M 'C 1 2/c 1'
_symmetry_Int_Tables_number 15
_cell_length_a 11.046
_cell_length_b 12.597
_cell_length_c 6.321
_cell_angle_alpha 90.00
_cell_angle_beta 123.17
_cell_angle_gamma 90.00
loop_
_symmetry_equiv_pos_as_xyz
'x,y,z'
'-x,-y,-z'
'-x,y,-z+1/2'
'x,-y,z+1/2'
'x+1/2,y+1/2,z'
'-x+1/2,-y+1/2,-z'
'-x+1/2,y+1/2,-z+1/2'
'x+1/2,-y+1/2,z+1/2'
loop_
_atom_site_label
_atom_site_type_symbol
_atom_site_fract_x
_atom_site_fract_y
_atom_site_fract_z
Cd1 Cd 0.000 0.199 0.250
Cu1 Cu 0.142 0.000 0.136
Re1 Re 0.000 0.251 0.750
O1 O 0.002 0.326 0.990
O2 O 0.150 0.166 0.889
O3 O 0.164 0.073 0.406

---

(8)
# CdCuRhO4 (PBE, relaxed)
# - Uncorrected formation energy: -0.755 eV per atom
# - Raw total energy: -5.3539 eV/atom
# - Crystal system: orthorhombic
# - Volume: 12.55 A^3/atom
data_CdCuRhO4
_symmetry_space_group_name_H-M 'I m m a'
_symmetry_Int_Tables_number 74
_symmetry_space_group_name_Hall '-I 2b 2'
_cell_length_a 5.916
_cell_length_b 6.273
_cell_length_c 9.472
_cell_angle_alpha 90.00
_cell_angle_beta 90.00
_cell_angle_gamma 90.00
loop_
_atom_site_label
_atom_site_type_symbol
_atom_site_fract_x
_atom_site_fract_y
_atom_site_fract_z
Cd1 Cd 0.000 0.250 0.162
Cu1 Cu 0.250 0.250 0.750
Rh1 Rh 0.000 0.000 0.500
O1 O 0.000 0.049 0.713
O2 O 0.215 0.250 0.484

---

- Which value of volume does entry 5 give?
  14.27 A^3/atom